Material: Y4Tm5Th
Method: DFT, PBE
State: relaxed

```
Y4Tm5Th
1.0
6.3524 0.0000 0.0000
3.1762 7.1508 0.0000
3.1762 0.0000 7.1508
Tm Y Th
5 4 1
direct
0.1803 0.9119 0.6270 Tm
0.0922 0.6270 0.0881 Tm
0.8073 0.3730 0.9119 Tm
0.7192 0.0881 0.3730 Tm
0.6897 0.0000 0.0000 Tm
0.7920 0.7057 0.6091 Y
0.1067 0.2943 0.3909 Y
0.4976 0.6091 0.2943 Y
0.4011 0.3909 0.7057 Y
0.2242 0.0000 0.0000 Th
```

***

Material: YTm2Th
Method: DFT, PBE
State: relaxed

```
YTm2Th
1.0
3.5697 0.0000 0.0000
1.7849 3.0915 0.0000
1.7849 1.0305 11.3299
Th Y Tm
1 1 2
direct
0.6662 0.6662 0.0015 Th
0.5005 0.5005 0.4984 Y
0.2512 0.2512 0.2464 Tm
0.0821 0.0821 0.7537 Tm
```

***

| no. | formation energy from the elements (meV per atom) | Fermi-level density of states (states/eV per cell) | polymorph energy (0 for the lowest one) (meV per atom) |
| --- | --- | --- | --- |
| 1 | 328 | 14.7 | 133.6 |
| 2 | 3 | 5.9 | 0.0 |